## Mg2ReW (PBE)

Data for a relaxed Mg2ReW crystal.

a b c (Å): 4.5352 4.5352 4.5352
angles (deg): 60.00 60.00 60.00
Closest atoms and distances in Å follow each position.
Sites, in units of the cell vectors:
Mg 0.2500 0.2500 0.2500  4 W 2.78, 4 Re 2.78
Mg 0.7500 0.7500 0.7500  4 W 2.78, 4 Re 2.78
Re 0.0000 0.0000 0.0000  8 Mg 2.78
W 0.5000 0.5000 0.5000  8 Mg 2.78

Output
The space-group type is Fm-3m (225). As for the energy of formation: 0.9960 eV per atom.

## Li6Zn12Ga (PBE)

Data for a relaxed Li6Zn12Ga crystal.

a b c (Å): 6.5879 6.5879 6.5879
angles (deg): 92.21 92.21 92.21
Closest atoms and distances in Å follow each position.
Sites, in units of the cell vectors:
Li 0.2264 0.3859 0.7647  9 Zn 2.63-2.84, 1 Ga 2.66, 2 Li 2.78
Li 0.2353 0.7736 0.6141  9 Zn 2.63-2.84, 1 Ga 2.66, 2 Li 2.78
Li 0.3859 0.7647 0.2264  9 Zn 2.63-2.84, 1 Ga 2.66, 2 Li 2.78
Li 0.6141 0.2353 0.7736  9 Zn 2.63-2.84, 1 Ga 2.66, 2 Li 2.78
Li 0.7647 0.2264 0.3859  9 Zn 2.63-2.84, 1 Ga 2.66, 2 Li 2.78
Li 0.7736 0.6141 0.2353  9 Zn 2.63-2.84, 1 Ga 2.66, 2 Li 2.78
Zn 0.0261 0.9482 0.2969  4 Zn 2.56-2.77, 4 Li 2.63-2.77
Zn 0.0518 0.7031 0.9739  4 Zn 2.56-2.77, 4 Li 2.63-2.77
Zn 0.1209 0.4548 0.3524  4 Zn 2.56-2.81, 1 Ga 2.65, 5 Li 2.65-2.84
Zn 0.2969 0.0261 0.9482  4 Zn 2.56-2.77, 4 Li 2.63-2.77
Zn 0.3524 0.1209 0.4548  4 Zn 2.56-2.81, 1 Ga 2.65, 5 Li 2.65-2.84
Zn 0.4548 0.3524 0.1209  4 Zn 2.56-2.81, 1 Ga 2.65, 5 Li 2.65-2.84
Zn 0.5452 0.6476 0.8791  4 Zn 2.56-2.81, 1 Ga 2.65, 5 Li 2.65-2.84
Zn 0.6476 0.8791 0.5452  4 Zn 2.56-2.81, 1 Ga 2.65, 5 Li 2.65-2.84
Zn 0.7031 0.9739 0.0518  4 Zn 2.56-2.77, 4 Li 2.63-2.77
Zn 0.8791 0.5452 0.6476  4 Zn 2.56-2.81, 1 Ga 2.65, 5 Li 2.65-2.84
Zn 0.9482 0.2969 0.0261  4 Zn 2.56-2.77, 4 Li 2.63-2.77
Zn 0.9739 0.0518 0.7031  4 Zn 2.56-2.77, 4 Li 2.63-2.77
Ga 0.5000 0.5000 0.5000  6 Zn 2.65, 6 Li 2.66

Output
The space-group type is R-3 (148). As for the energy of formation: -0.1371 eV per atom.

## Dy6Tm3Tl (PBE)

Data for a relaxed Dy6Tm3Tl crystal.

a b c (Å): 13.5407 3.5439 14.1860
angles (deg): 90.00 115.13 90.00
Closest atoms and distances in Å follow each position.
Sites, in units of the cell vectors:
Dy 0.0512 0.2500 0.4164  9 Dy 3.49-3.67, 3 Tm 3.49-3.52
Dy 0.1132 0.7500 0.8552  2 Tl 3.32, 2 Tm 3.52, 7 Dy 3.54-3.66
Dy 0.1455 0.7500 0.2585  2 Tl 3.29, 8 Dy 3.44-3.64
Dy 0.2962 0.7500 0.5255  6 Tm 3.34-3.61, 5 Dy 3.46-3.54
Dy 0.3253 0.7500 0.1452  2 Tl 3.23, 4 Tm 3.40-3.52, 5 Dy 3.44-3.54
Dy 0.3743 0.2500 0.9570  4 Tm 3.43-3.55, 8 Dy 3.49-3.66
Dy 0.6257 0.7500 0.0430  4 Tm 3.43-3.55, 8 Dy 3.49-3.66
Dy 0.6747 0.2500 0.8548  2 Tl 3.23, 4 Tm 3.40-3.52, 5 Dy 3.44-3.54
Dy 0.7038 0.2500 0.4745  6 Tm 3.34-3.61, 5 Dy 3.46-3.54
Dy 0.8545 0.2500 0.7415  2 Tl 3.29, 8 Dy 3.44-3.64
Dy 0.8868 0.2500 0.1448  2 Tl 3.32, 2 Tm 3.52, 7 Dy 3.54-3.66
Dy 0.9488 0.7500 0.5836  9 Dy 3.49-3.67, 3 Tm 3.49-3.52
Tm 0.1970 0.2500 0.6869  4 Tm 3.46-3.54, 8 Dy 3.49-3.58
Tm 0.4107 0.2500 0.3808  7 Dy 3.52-3.71, 5 Tm 3.54-3.69
Tm 0.4394 0.7500 0.7839  6 Dy 3.34-3.46, 5 Tm 3.46-3.69
Tm 0.5606 0.2500 0.2161  6 Dy 3.34-3.46, 5 Tm 3.46-3.69
Tm 0.5893 0.7500 0.6192  7 Dy 3.52-3.71, 5 Tm 3.54-3.69
Tm 0.8030 0.7500 0.3131  4 Tm 3.46-3.54, 8 Dy 3.49-3.58
Tl 0.1049 0.2500 0.0497  2 Tl 3.13, 6 Dy 3.23-3.32
Tl 0.8951 0.7500 0.9503  2 Tl 3.13, 6 Dy 3.23-3.32

Output
The space-group type is P2_1/m (11). As for the energy of formation: 0.0084 eV per atom.

## KTlS2 (PBE)

Data for a relaxed KTlS2 crystal.

a b c (Å): 4.2341 4.2341 5.8856
angles (deg): 90.00 90.00 90.00
Closest atoms and distances in Å follow each position.
Sites, in units of the cell vectors:
K 0.0000 0.0000 0.0000  6 S 2.94-2.99
Tl 0.5000 0.5000 0.5000  6 S 2.94-2.99
S 0.0000 0.0000 0.5000  2 K 2.94, 4 Tl 2.99
S 0.5000 0.5000 0.0000  2 Tl 2.94, 4 K 2.99

Output
The calculation puts the uncorrected formation energy at -0.295 eV/atom. The space-group type is P4/mmm (123).

## CaOs3Se (PBE)

Data for a relaxed CaOs3Se crystal.

a b c (Å): 4.7119 4.7119 4.7119
angles (deg): 90.00 90.00 90.00
Closest atoms and distances in Å follow each position.
Sites, in units of the cell vectors:
Ca 0.0000 0.0000 0.0000  6 Os 2.36
Os 0.0000 0.0000 0.5000  2 Ca 2.36
Os 0.0000 0.5000 0.0000  2 Ca 2.36
Os 0.5000 0.0000 0.0000  2 Ca 2.36
Se 0.5000 0.5000 0.5000  12 Os 3.33

Output
The calculation puts the uncorrected formation energy at 3.314 eV/atom. The space-group type is Pm-3m (221).

## NaWN2 (PBE)

Data for a relaxed NaWN2 crystal.

a b c (Å): 6.0344 7.2999 5.8225
angles (deg): 90.00 90.00 90.00
Closest atoms and distances in Å follow each position.
Sites, in units of the cell vectors:
Na 0.0876 0.1231 0.0000  4 N 2.50-2.68
Na 0.4124 0.6231 0.5000  4 N 2.50-2.68
Na 0.5876 0.3769 0.0000  4 N 2.50-2.68
Na 0.9124 0.8769 0.5000  4 N 2.50-2.68
W 0.0651 0.6267 0.9850  4 N 1.90-1.94
W 0.4349 0.1267 0.4850  4 N 1.90-1.94
W 0.5651 0.8733 0.9850  4 N 1.90-1.94
W 0.9349 0.3733 0.4850  4 N 1.90-1.94
N 0.0345 0.5736 0.6649  2 W 1.90-1.91
N 0.1234 0.1697 0.5447  2 W 1.90-1.94
N 0.3766 0.6697 0.0447  2 W 1.90-1.94
N 0.4655 0.0736 0.1649  2 W 1.90-1.91
N 0.5345 0.9264 0.6649  2 W 1.90-1.91
N 0.6234 0.3303 0.5447  2 W 1.90-1.94
N 0.8766 0.8303 0.0447  2 W 1.90-1.94
N 0.9655 0.4264 0.1649  2 W 1.90-1.91

Output
The calculation puts the uncorrected formation energy at -0.388 eV/atom. The space-group type is Pna2_1 (33).

## PuCdPd2 (PBE)

Data for a relaxed PuCdPd2 crystal.

a b c (Å): 3.3362 3.3362 7.0419
angles (deg): 90.00 90.00 90.00
Closest atoms and distances in Å follow each position.
Sites, in units of the cell vectors:
Pu 0.0000 0.0000 0.0000  8 Pd 3.04, 4 Pu 3.34
Cd 0.0000 0.0000 0.5000  8 Pd 2.85
Pd 0.5000 0.5000 0.2732  4 Cd 2.85, 4 Pu 3.04
Pd 0.5000 0.5000 0.7268  4 Cd 2.85, 4 Pu 3.04

Output
The space-group type is P4/mmm (123). As for the energy of formation: -0.3885 eV per atom.

For each record above, in turn, the calculated energy values are -6.15 -1.71 -4.33 -3.22 -4.52 -8.12 -6.80 eV/atom.